# 1
This record from Alexandria describes crystalline LaInGeAu at its relaxed geometry. The functional is GGA-PBE.

abc: 5.1422 5.1422 5.1422
angles: 60.00 60.00 60.00
Last column: nearest neighbours and their distance in Å.
Fractional positions:
Ge: 0.7500 0.7500 0.7500  4 In 3.15, 4 La 3.15
In: 0.0000 0.0000 0.0000  4 Au 3.15, 4 Ge 3.15
Au: 0.2500 0.2500 0.2500  4 La 3.15, 4 In 3.15
La: 0.5000 0.5000 0.5000  4 Ge 3.15, 4 Au 3.15

Values from the calculation:
Total moment, μB per cell: 0.000
Energy of formation, meV per atom: -512
D(E_F), states/eV/cell: 3.5
Space-group type: F-43m (216)

=====

# 2
This record from Alexandria describes crystalline Li3In2Ge2Au4 at its relaxed geometry. The functional is GGA-PBE.

abc: 4.4850 4.4850 12.4281
angles: 90.00 90.00 120.00
Last column: nearest neighbours and their distance in Å.
Fractional positions:
Li: 0.0000 0.0000 0.7591  6 Au 2.88-3.03, 3 Ge 2.94, 1 Li 2.99
Li: 0.0000 0.0000 0.0000  6 Au 2.95, 2 Li 2.99, 6 Ge 3.04
Li: 0.0000 0.0000 0.2409  6 Au 2.88-3.03, 3 Ge 2.94, 1 Li 2.99
In: 0.6667 0.3333 0.4208  4 Au 2.77-2.95
In: 0.3333 0.6667 0.5792  4 Au 2.77-2.95
Ge: 0.6667 0.3333 0.8717  4 Au 2.60-2.65
Ge: 0.3333 0.6667 0.1283  4 Au 2.60-2.65
Au: 0.6667 0.3333 0.1135  3 Ge 2.60
Au: 0.3333 0.6667 0.8865  3 Ge 2.60
Au: 0.6667 0.3333 0.6584  1 Ge 2.65, 4 In 2.77-2.95, 3 Li 2.88
Au: 0.3333 0.6667 0.3416  1 Ge 2.65, 4 In 2.77-2.95, 3 Li 2.88

Values from the calculation:
Total moment, μB per cell: 0.000
Energy of formation, meV per atom: -345
D(E_F), states/eV/cell: 4.8
Space-group type: P-3m1 (164)

=====

# 3
This record from Alexandria describes crystalline LuInGeAu at its relaxed geometry. The functional is GGA-PBE.

abc: 4.9408 4.9408 4.9408
angles: 60.00 60.00 60.00
Last column: nearest neighbours and their distance in Å.
Fractional positions:
Ge: 0.2500 0.2500 0.2500  4 In 3.03, 4 Lu 3.03
Lu: 0.0000 0.0000 0.0000  4 Au 3.03, 4 Ge 3.03
Au: 0.7500 0.7500 0.7500  4 In 3.03, 4 Lu 3.03
In: 0.5000 0.5000 0.5000  4 Ge 3.03, 4 Au 3.03

Values from the calculation:
Total moment, μB per cell: 0.000
Energy of formation, meV per atom: -376
D(E_F), states/eV/cell: 3.3
Space-group type: F-43m (216)

=====

# 4
This record from Alexandria describes crystalline In2GeAuN at its relaxed geometry. The functional is GGA-PBE.

abc: 4.9264 4.1570 4.9264
angles: 90.00 90.00 90.00
Last column: nearest neighbours and their distance in Å.
Fractional positions:
Ge: 0.5000 0.5000 0.5000  8 In 3.22, 4 Au 3.48
N: 0.0000 0.0000 0.0000  2 Au 2.08
Au: 0.0000 0.5000 0.0000  2 N 2.08
In: 0.0000 0.0000 0.5000  2 N 2.46
In: 0.5000 0.0000 0.0000  2 N 2.46

Values from the calculation:
Total moment, μB per cell: 0.000
D(E_F), states/eV/cell: 1.9
Energy relative to the elements, uncorrected, eV/atom: 0.579
Space-group type: P4/mmm (123)

=====

Look up the D(E_F) of the first one. 3.5 states/eV/cell

=====

What did the third record say?
This record from Alexandria describes crystalline LuInGeAu at its relaxed geometry. The functional is GGA-PBE.

abc: 4.9408 4.9408 4.9408
angles: 60.00 60.00 60.00
Last column: nearest neighbours and their distance in Å.
Fractional positions:
Ge: 0.2500 0.2500 0.2500  4 In 3.03, 4 Lu 3.03
Lu: 0.0000 0.0000 0.0000  4 Au 3.03, 4 Ge 3.03
Au: 0.7500 0.7500 0.7500  4 In 3.03, 4 Lu 3.03
In: 0.5000 0.5000 0.5000  4 Ge 3.03, 4 Au 3.03

Values from the calculation:
Total moment, μB per cell: 0.000
Energy of formation, meV per atom: -376
D(E_F), states/eV/cell: 3.3
Space-group type: F-43m (216)

=====

What is the formula in the fourth record? In2GeAuN